First-principles (PBE) data for an optimized crystal structure of Cd4TcAg, as listed in Alexandria via LeMat-Bulk.

Cell and atoms, written as POSCAR:
```
Cd4TcAg
1.0
0.000 3.944 3.944
3.944 0.000 3.944
3.944 3.944 0.000
Cd Ag Tc
4 1 1
direct
0.375 0.874 0.375
0.375 0.375 0.874
0.874 0.375 0.375
0.375 0.375 0.375
0.000 0.000 0.000
0.750 0.750 0.750
```

Results
As for the formation energy: 0.54 eV/atom. The raw total energy is -13.66 eV for the cell shown. For the total magnetization, the calculation gives 2.41 μB per cell.